Record 1
A plane-wave DFT calculation with PBE was carried out for a relaxed structure of CsGeTeP2O.

Structure (POSCAR):
```
CsGeTeP2O
1.0
4.938 -0.007 -0.013
1.556 6.218 0.014
1.414 0.290 7.071
Cs P O Te Ge
1 2 1 1 1
direct
0.901 0.884 0.994 Cs
0.474 0.796 0.551 P
0.244 0.025 0.383 P
0.502 0.840 0.751 O
0.030 0.343 0.585 Te
0.580 0.468 0.399 Ge
```

calculated volume = 36.21 Å³/atom
space-group type = P1 (1)
uncorrected energy = -4.578 eV/atom
E_form (uncorrected) = -513 meV per atom


Record 2
A plane-wave DFT calculation with PBE was carried out for a relaxed structure of CsGeTeP2O.

Structure (POSCAR):
```
CsGeTeP2O
1.0
5.595 -0.171 -0.085
1.629 5.439 0.005
1.477 -0.132 6.537
Ge Te P Cs O
1 1 2 1 1
direct
0.936 0.684 0.355 Ge
0.140 0.682 0.692 Te
0.527 0.572 0.410 P
0.601 0.193 0.507 P
0.349 0.104 0.052 Cs
0.812 0.036 0.320 O
```

calculated volume = 33.58 Å³/atom
space-group type = P1 (1)
uncorrected energy = -4.567 eV/atom
E_form (uncorrected) = -502 meV per atom


Record 3
A plane-wave DFT calculation with PBE was carried out for a relaxed structure of CsGeTeP2O.

Structure (POSCAR):
```
CsGeTeP2O
1.0
3.923 -0.005 0.004
-0.358 5.347 0.004
-0.419 -1.495 8.077
P Ge Cs O Te
2 1 1 1 1
direct
0.341 0.220 0.600 P
0.441 0.648 0.601 P
0.816 0.147 0.422 Ge
0.212 0.015 0.990 Cs
0.705 0.730 0.749 O
0.756 0.605 0.302 Te
```

calculated volume = 28.24 Å³/atom
space-group type = P1 (1)
uncorrected energy = -4.643 eV/atom
E_form (uncorrected) = -578 meV per atom


Record 4
A plane-wave DFT calculation with PBE was carried out for a relaxed structure of CsGeTeP2O.

Structure (POSCAR):
```
CsGeTeP2O
1.0
-4.777 1.030 -1.254
0.201 -4.170 -3.186
-1.622 -4.059 6.108
P O Cs Te Ge
2 1 1 1 1
direct
0.841 0.475 0.564 P
0.072 0.703 0.395 P
0.858 0.564 0.765 O
0.856 0.064 0.987 Cs
0.291 0.070 0.597 Te
0.438 0.395 0.357 Ge
```

calculated volume = 32.83 Å³/atom
space-group type = P1 (1)
uncorrected energy = -4.612 eV/atom
E_form (uncorrected) = -547 meV per atom


Record 5
A plane-wave DFT calculation with PBE was carried out for a relaxed structure of CsGeTeP2O.

Structure (POSCAR):
```
CsGeTeP2O
1.0
-2.241 -3.000 2.714
-0.077 -5.055 -2.630
5.664 -3.375 3.758
P Te Ge Cs O
2 1 1 1 1
direct
0.399 0.428 0.433 P
0.961 0.719 0.420 P
0.096 0.067 0.564 Te
0.542 0.618 0.654 Ge
0.386 0.089 0.040 Cs
0.914 0.808 0.224 O
```

calculated volume = 30.78 Å³/atom
space-group type = P1 (1)
uncorrected energy = -4.668 eV/atom
E_form (uncorrected) = -603 meV per atom


Record 6
A plane-wave DFT calculation with PBE was carried out for a relaxed structure of CsZnGePO.

Structure (POSCAR):
```
CsZnGePO
1.0
7.238 0.000 0.000
0.000 3.674 0.000
-2.225 0.000 9.140
O Zn Ge Cs P
2 2 2 2 2
direct
0.513 0.500 0.786 O
0.513 0.000 0.286 O
0.401 0.000 0.672 Zn
0.401 0.500 0.172 Zn
0.328 0.500 0.902 Ge
0.328 0.000 0.402 Ge
0.796 0.000 0.024 Cs
0.796 0.500 0.524 Cs
0.140 0.000 0.796 P
0.140 0.500 0.296 P
```

calculated volume = 24.31 Å³/atom
space-group type = Cm (8)
uncorrected energy = -4.146 eV/atom
E_form (uncorrected) = -723 meV per atom


Record 7
A plane-wave DFT calculation with PBE was carried out for a relaxed structure of CsZnGePO.

Structure (POSCAR):
```
CsZnGePO
1.0
4.067 0.166 -0.316
0.725 4.793 0.131
0.586 2.046 7.432
P Cs Ge Zn O
1 1 1 1 1
direct
0.530 0.319 0.618 P
0.150 0.855 0.023 Cs
0.685 0.071 0.405 Ge
0.986 0.561 0.534 Zn
0.493 0.215 0.191 O
```

calculated volume = 28.67 Å³/atom
space-group type = P1 (1)
uncorrected energy = -4.053 eV/atom
E_form (uncorrected) = -630 meV per atom


Record 8
A plane-wave DFT calculation with PBE was carried out for a relaxed structure of CsZnGePO.

Structure (POSCAR):
```
CsZnGePO
1.0
-2.553 -2.827 -3.262
3.142 -1.051 -1.548
2.943 -8.295 11.604
Ge Cs Zn O P
2 2 2 2 2
direct
0.231 0.000 0.746 Ge
0.231 0.500 0.246 Ge
0.892 0.500 0.911 Cs
0.892 0.000 0.411 Cs
0.611 0.500 0.660 Zn
0.611 0.000 0.160 Zn
0.594 0.000 0.725 O
0.594 0.500 0.225 O
0.060 0.500 0.634 P
0.060 0.000 0.134 P
```

calculated volume = 25.48 Å³/atom
space-group type = Cm (8)
uncorrected energy = -4.078 eV/atom
E_form (uncorrected) = -656 meV per atom